No. 1
A plane-wave DFT calculation with PBE-GGA was carried out for a relaxed structure of NdAlPd6.

- Crystal system: tetragonal
- Density: 10.0 g cm⁻³
- Total moment: 0.00 μB per cell
- Volume: 134 Å³/cell
- Raw total energy: -0.4140 Ry per atom

Unit cell a=4.1213 b=4.1213 c=7.8988 alpha=90.00 beta=90.00 gamma=90.00
Positions (direct):
Nd1 0.0000 0.0000 0.0000
Al1 0.0000 0.0000 0.5000
Pd1 0.0000 0.5000 0.2753
Pd2 0.0000 0.5000 0.7247
Pd3 0.5000 0.0000 0.2753
Pd4 0.5000 0.0000 0.7247
Pd5 0.5000 0.5000 0.0000
Pd6 0.5000 0.5000 0.5000


No. 2
A plane-wave DFT calculation with PBE-GGA was carried out for a relaxed structure of Nd2AlPd3.

- Crystal system: orthorhombic
- Density: 7.8 g cm⁻³
- Total moment: 0.00 μB per cell
- Volume: 136 Å³/cell
- Raw total energy: -0.4013 Ry per atom

Unit cell a=6.5985 b=6.5985 c=6.5985 alpha=141.30 beta=130.13 gamma=64.85
Positions (direct):
Nd1 0.1836 0.1836 0.0000
Nd2 0.8164 0.8164 0.0000
Al1 0.5000 0.5000 0.0000
Pd1 0.0000 0.5000 0.5000
Pd2 0.3767 0.8767 0.5000
Pd3 0.6233 0.1233 0.5000


No. 3
A plane-wave DFT calculation with PBE-GGA was carried out for a relaxed structure of Nd3AlPd3.

- Crystal system: monoclinic
- Density: 7.7 g cm⁻³
- Total moment: 0.00 μB per cell
- Volume: 337 Å³/cell
- Raw total energy: -0.4025 Ry per atom

Unit cell a=6.7821 b=6.7821 c=7.8077 alpha=95.08 beta=95.08 gamma=108.39
Positions (direct):
Nd1 0.1820 0.8180 0.0000
Nd2 0.2385 0.7615 0.5000
Nd3 0.3756 0.3756 0.1696
Nd4 0.6244 0.6244 0.8304
Nd5 0.7615 0.2385 0.5000
Nd6 0.8180 0.1820 0.0000
Al1 0.2734 0.2734 0.5390
Al2 0.7266 0.7266 0.4610
Pd1 0.0217 0.0217 0.2990
Pd2 0.1520 0.4257 0.7962
Pd3 0.4257 0.1520 0.7962
Pd4 0.5743 0.8480 0.2038
Pd5 0.8480 0.5743 0.2038
Pd6 0.9783 0.9783 0.7010


No. 4
A plane-wave DFT calculation with PBE-GGA was carried out for a relaxed structure of Nd3Al9Pd2.

- Crystal system: orthorhombic
- Density: 5.3 g cm⁻³
- Total moment: 0.00 μB per cell
- Volume: 278 Å³/cell
- Raw total energy: -0.3517 Ry per atom

Unit cell a=8.3721 b=8.3721 c=8.3721 alpha=149.73 beta=106.69 gamma=81.32
Positions (direct):
Nd1 0.0000 0.0000 0.0000
Nd2 0.3071 0.3071 0.0000
Nd3 0.6929 0.6929 0.0000
Al1 0.0245 0.6592 0.3653
Al2 0.1523 0.8720 0.2803
Al3 0.2939 0.6592 0.6347
Al4 0.4083 0.1280 0.2803
Al5 0.5000 0.0000 0.5000
Al6 0.5917 0.8720 0.7197
Al7 0.7061 0.3408 0.3653
Al8 0.8477 0.1280 0.7197
Al9 0.9755 0.3408 0.6347
Pd1 0.2931 0.5000 0.7931
Pd2 0.7069 0.5000 0.2069


No. 5
A plane-wave DFT calculation with PBE-GGA was carried out for a relaxed structure of Nd2AlPd.

- Crystal system: trigonal
- Density: 6.7 g cm⁻³
- Total moment: 0.00 μB per cell
- Volume: 105 Å³/cell
- Raw total energy: -0.3760 Ry per atom

Unit cell a=6.3546 b=6.3546 c=6.3546 alpha=42.22 beta=42.22 gamma=42.22
Positions (direct):
Nd1 0.0000 0.0000 0.0000
Nd2 0.1934 0.1934 0.1934
Al1 0.7694 0.7694 0.7694
Pd1 0.4224 0.4224 0.4224


No. 6
A plane-wave DFT calculation with PBE-GGA was carried out for a relaxed structure of NdAl2Pd.

- Crystal system: trigonal
- Density: 5.9 g cm⁻³
- Total moment: 0.00 μB per cell
- Volume: 85 Å³/cell
- Raw total energy: -0.3714 Ry per atom

Unit cell a=5.9069 b=5.9069 c=5.9069 alpha=42.47 beta=42.47 gamma=42.47
Positions (direct):
Nd1 0.0000 0.0000 0.0000
Al1 0.2085 0.2085 0.2085
Al2 0.7915 0.7915 0.7915
Pd1 0.5000 0.5000 0.5000


No. 7
A plane-wave DFT calculation with PBE-GGA was carried out for a relaxed structure of NdAl2Pd5.

- Crystal system: orthorhombic
- Density: 8.6 g cm⁻³
- Total moment: 0.00 μB per cell
- Volume: 142 Å³/cell
- Raw total energy: -0.4083 Ry per atom

Unit cell a=6.5011 b=6.5011 c=6.5011 alpha=144.65 beta=114.29 gamma=76.88
Positions (direct):
Nd1 0.0000 0.0000 0.0000
Al1 0.2615 0.7615 0.5000
Al2 0.7385 0.2385 0.5000
Pd1 0.1568 0.3560 0.8008
Pd2 0.4447 0.6440 0.8008
Pd3 0.5000 0.0000 0.5000
Pd4 0.5553 0.3560 0.1992
Pd5 0.8432 0.6440 0.1992


No. 8
A plane-wave DFT calculation with PBE-GGA was carried out for a relaxed structure of Nd3Al4Pd2.

- Crystal system: monoclinic
- Density: 6.1 g cm⁻³
- Total moment: 0.00 μB per cell
- Volume: 204 Å³/cell
- Raw total energy: -0.3703 Ry per atom

Unit cell a=6.0174 b=6.0174 c=8.6636 alpha=105.17 beta=105.17 gamma=42.57
Positions (direct):
Nd1 0.0000 0.0000 0.0000
Nd2 0.3757 0.3757 0.6240
Nd3 0.6243 0.6243 0.3760
Al1 0.0868 0.0868 0.6499
Al2 0.2842 0.2842 0.9289
Al3 0.7158 0.7158 0.0711
Al4 0.9132 0.9132 0.3501
Pd1 0.3126 0.3126 0.2317
Pd2 0.6874 0.6874 0.7683